# 1
A plane-wave DFT calculation with PBE-GGA was carried out for a geometry-optimized TcAg2P structure.

Unit cell a=2.8519 b=2.8519 c=27.5361 alpha=90.00 beta=90.00 gamma=120.00
With the nearest neighbours (Å) after each atom.
Fractional coordinates of all 12 atoms:
Tc1 0.0000 0.0000 0.0000  6 Tc 2.85, 6 Ag 2.87
Tc2 0.3333 0.6667 0.6667  6 Tc 2.85, 6 Ag 2.87
Tc3 0.6667 0.3333 0.3333  6 Tc 2.85, 6 Ag 2.87
Ag1 0.0000 0.0000 0.2478  3 P 2.77, 6 Ag 2.85, 3 Tc 2.87
Ag2 0.0000 0.0000 0.7522  3 P 2.77, 6 Ag 2.85, 3 Tc 2.87
Ag3 0.3333 0.6667 0.4189  3 P 2.77, 6 Ag 2.85, 3 Tc 2.87
Ag4 0.3333 0.6667 0.9145  3 P 2.77, 6 Ag 2.85, 3 Tc 2.87
Ag5 0.6667 0.3333 0.0855  3 P 2.77, 6 Ag 2.85, 3 Tc 2.87
Ag6 0.6667 0.3333 0.5811  3 P 2.77, 6 Ag 2.85, 3 Tc 2.87
P1 0.0000 0.0000 0.5000  6 Ag 2.77, 6 P 2.85
P2 0.3333 0.6667 0.1667  6 Ag 2.77, 6 P 2.85
P3 0.6667 0.3333 0.8333  6 Ag 2.77, 6 P 2.85

For the density, the calculation gives 8.85 g/cm3. The value obtained for the calculated formation energy is 560 meV/atom. Its symmetry is R-3m (166).

***

# 2
A plane-wave DFT calculation with PBE-GGA was carried out for a geometry-optimized Ta2Mn structure.

Unit cell a=3.2435 b=4.6535 c=12.6393 alpha=90.00 beta=90.00 gamma=90.00
With the nearest neighbours (Å) after each atom.
Fractional coordinates of all 12 atoms:
Ta1 0.0000 0.0000 0.1554  2 Mn 2.55, 4 Ta 2.84
Ta2 0.0000 0.0000 0.8446  2 Mn 2.55, 4 Ta 2.84
Ta3 0.0000 0.5000 0.3446  2 Mn 2.55, 4 Ta 2.84
Ta4 0.0000 0.5000 0.6554  2 Mn 2.55, 4 Ta 2.84
Ta5 0.5000 0.0000 0.3446  2 Mn 2.55, 4 Ta 2.84
Ta6 0.5000 0.0000 0.6554  2 Mn 2.55, 4 Ta 2.84
Ta7 0.5000 0.5000 0.1554  2 Mn 2.55, 4 Ta 2.84
Ta8 0.5000 0.5000 0.8446  2 Mn 2.55, 4 Ta 2.84
Mn1 0.0000 0.0000 0.5000  4 Ta 2.55, 4 Mn 2.84
Mn2 0.0000 0.5000 0.0000  4 Ta 2.55, 4 Mn 2.84
Mn3 0.5000 0.0000 0.0000  4 Ta 2.55, 4 Mn 2.84
Mn4 0.5000 0.5000 0.5000  4 Ta 2.55, 4 Mn 2.84

For the density, the calculation gives 14.51 g/cm3. The value obtained for the calculated formation energy is 21 meV/atom. Its symmetry is Fmmm (69).

***

# 3
A plane-wave DFT calculation with PBE-GGA was carried out for a geometry-optimized AcLaPuMg structure.

Unit cell a=8.1289 b=8.1289 c=8.1289 alpha=90.00 beta=90.00 gamma=90.00
With the nearest neighbours (Å) after each atom.
Fractional coordinates of all 16 atoms:
Ac1 0.0000 0.0000 0.0000  4 Pu 3.52, 4 Mg 3.52
Ac2 0.0000 0.5000 0.5000  4 Pu 3.52, 4 Mg 3.52
Ac3 0.5000 0.0000 0.5000  4 Pu 3.52, 4 Mg 3.52
Ac4 0.5000 0.5000 0.0000  4 Pu 3.52, 4 Mg 3.52
La1 0.0000 0.0000 0.5000  4 Mg 3.52, 4 Pu 3.52
La2 0.0000 0.5000 0.0000  4 Mg 3.52, 4 Pu 3.52
La3 0.5000 0.0000 0.0000  4 Mg 3.52, 4 Pu 3.52
La4 0.5000 0.5000 0.5000  4 Mg 3.52, 4 Pu 3.52
Pu1 0.2500 0.2500 0.2500  4 Ac 3.52, 4 La 3.52
Pu2 0.2500 0.7500 0.7500  4 Ac 3.52, 4 La 3.52
Pu3 0.7500 0.2500 0.7500  4 Ac 3.52, 4 La 3.52
Pu4 0.7500 0.7500 0.2500  4 Ac 3.52, 4 La 3.52
Mg1 0.2500 0.2500 0.7500  4 Ac 3.52, 4 La 3.52
Mg2 0.2500 0.7500 0.2500  4 Ac 3.52, 4 La 3.52
Mg3 0.7500 0.2500 0.2500  4 Ac 3.52, 4 La 3.52
Mg4 0.7500 0.7500 0.7500  4 La 3.52, 4 Ac 3.52

For the density, the calculation gives 7.84 g/cm3. The value obtained for the calculated formation energy is 153 meV/atom. Its symmetry is F-43m (216).

***

# 4
A plane-wave DFT calculation with PBE-GGA was carried out for a geometry-optimized RbBaH2 structure.

Unit cell a=4.0533 b=4.0533 c=21.9108 alpha=90.00 beta=90.00 gamma=120.00
With the nearest neighbours (Å) after each atom.
Fractional coordinates of all 12 atoms:
Rb1 0.0000 0.0000 0.0000  6 H 3.07-3.17
Rb2 0.3333 0.6667 0.6667  6 H 3.07-3.17
Rb3 0.6667 0.3333 0.3333  6 H 3.07-3.17
Ba1 0.0000 0.0000 0.1702  6 H 2.83
Ba2 0.3333 0.6667 0.8369  6 H 2.83
Ba3 0.6667 0.3333 0.5036  6 H 2.83
H1 0.0000 0.0000 0.5759  3 Ba 2.83, 3 Rb 3.07
H2 0.0000 0.0000 0.7643  3 Ba 2.83
H3 0.3333 0.6667 0.2425  3 Ba 2.83, 3 Rb 3.07
H4 0.3333 0.6667 0.4310  3 Ba 2.83
H5 0.6667 0.3333 0.0977  3 Ba 2.83
H6 0.6667 0.3333 0.9092  3 Ba 2.83, 3 Rb 3.07

For the density, the calculation gives 3.59 g/cm3. Its symmetry is R3m (160). For the polymorph energy (0 for the lowest one), the calculation gives 103 meV per atom.